[1]
This record from the Alexandria database describes a relaxed structure of TmThHg. The functional is PBE.

Geometry as POSCAR:
```
TmThHg
1.0
-1.7960 1.7960 6.5957
1.7960 -1.7960 6.5957
1.7960 1.7960 -6.5957
Tm Th Hg
1 1 1
Direct
0.0000 0.0000 0.0000
0.6864 0.6864 0.0000
0.3610 0.3610 0.0000
```

## Properties
E_tot (eV per cell): -12.88
Distance to the lowest polymorph of the same formula (eV per atom): 0.000
Formation enthalpy at 0 K (meV per atom): -229
DOS at the Fermi energy (states/eV/cell): 2.137



[2]
This record from the Alexandria database describes a relaxed structure of Si2TcAu. The functional is PBE.

Geometry as POSCAR:
```
Si2TcAu
1.0
2.8054 -4.1564 0.0000
2.8054 4.1564 0.0000
-1.5871 0.0000 2.7021
Si Tc Au
2 1 1
Direct
0.0000 0.5000 0.0000
0.5000 0.0000 0.0000
0.0000 0.0000 0.0000
0.5000 0.5000 0.0000
```

## Properties
Energy relative to the elements, uncorrected (eV per atom): 0.216
E_tot (eV per cell): -23.62
Distance to the lowest polymorph of the same formula (eV per atom): 0.380
DOS at the Fermi energy (states/eV/cell): 2.062



[3]
This record from the Alexandria database describes a relaxed structure of KNaLi. The functional is PBE.

Geometry as POSCAR:
```
KNaLi
1.0
6.0790 0.0000 0.0000
-3.0395 5.2646 0.0000
0.0000 0.0000 3.9193
K Na Li
1 1 1
Direct
0.0000 0.0000 0.0000
0.3333 0.6667 0.5942
0.6667 0.3333 0.3930
```

## Properties
E_tot (eV per cell): -3.95
Distance to the lowest polymorph of the same formula (eV per atom): 0.038
Formation enthalpy at 0 K (meV per atom): 126
DOS at the Fermi energy (states/eV/cell): 2.248



[4]
This record from the Alexandria database describes a relaxed structure of Zr2TaIr. The functional is PBE.

Geometry as POSCAR:
```
Zr2TaIr
1.0
2.8763 -4.6213 0.0000
2.8763 4.6213 0.0000
-1.0646 0.0000 2.8164
Zr Ta Ir
2 1 1
Direct
0.0000 0.5000 0.0000
0.5000 0.0000 0.0000
0.0000 0.0000 0.5000
0.5000 0.5000 0.5000
```

## Properties
E_tot (eV per cell): -38.73
Distance to the lowest polymorph of the same formula (eV per atom): 0.156
Formation enthalpy at 0 K (meV per atom): -231
DOS at the Fermi energy (states/eV/cell): 4.001